# PrGa5Pd7 | Alexandria | PBE | relaxed
data_PrGa5Pd7
_symmetry_space_group_name_H-M 'I m m 2'
_symmetry_Int_Tables_number 44
_cell_length_a 5.357
_cell_length_b 9.103
_cell_length_c 8.821
_cell_angle_alpha 90.00
_cell_angle_beta 90.00
_cell_angle_gamma 90.00
loop_
_symmetry_equiv_pos_as_xyz
'x,y,z'
'-x,-y,z'
'-x,y,z'
'x,-y,z'
'x+1/2,y+1/2,z+1/2'
'-x+1/2,-y+1/2,z+1/2'
'-x+1/2,y+1/2,z+1/2'
'x+1/2,-y+1/2,z+1/2'
loop_
_atom_site_label
_atom_site_type_symbol
_atom_site_fract_x
_atom_site_fract_y
_atom_site_fract_z
Pr1 Pr 0.000 0.000 0.000
Ga1 Ga 0.000 0.500 0.268
Ga2 Ga 0.246 0.259 0.742
Pd1 Pd 0.000 0.000 0.342
Pd2 Pd 0.000 0.000 0.661
Pd3 Pd 0.000 0.290 0.484
Pd4 Pd 0.000 0.342 0.005
Pd5 Pd 0.000 0.500 0.722
# E = -128.767 eV for the cell shown
# E_form = -783 kJ/mol of formula units

=====

# TaCuAg2 | Alexandria | PBE | relaxed
data_TaCuAg2
_symmetry_space_group_name_H-M 'I -4 m 2'
_symmetry_Int_Tables_number 119
_symmetry_space_group_name_Hall 'I -4 -2'
_cell_length_a 4.467
_cell_length_b 4.467
_cell_length_c 6.520
_cell_angle_alpha 90.00
_cell_angle_beta 90.00
_cell_angle_gamma 90.00
loop_
_atom_site_label
_atom_site_type_symbol
_atom_site_fract_x
_atom_site_fract_y
_atom_site_fract_z
Ta1 Ta 0.000 0.000 0.000
Cu1 Cu 0.000 0.500 0.250
Ag1 Ag 0.000 0.000 0.500
Ag2 Ag 0.000 0.500 0.750
# energy relative to the lowest polymorph listed for this composition = 0.2269 eV per atom
# E = -40.161 eV for the cell shown
# E_form = 152 kJ/mol of formula units

=====

# CrCo2Ir | Alexandria | PBE | relaxed
data_CrCo2Ir
_symmetry_space_group_name_H-M 'P m m 2'
_symmetry_Int_Tables_number 25
_cell_length_a 2.624
_cell_length_b 3.557
_cell_length_c 5.158
_cell_angle_alpha 90.00
_cell_angle_beta 90.00
_cell_angle_gamma 90.00
loop_
_symmetry_equiv_pos_as_xyz
'x,y,z'
'-x,-y,z'
'-x,y,z'
'x,-y,z'
loop_
_atom_site_label
_atom_site_type_symbol
_atom_site_fract_x
_atom_site_fract_y
_atom_site_fract_z
Cr1 Cr 0.000 0.000 0.000
Co1 Co 0.000 0.000 0.537
Co2 Co 0.500 0.500 0.755
Ir1 Ir 0.500 0.500 0.259
# energy relative to the lowest polymorph listed for this composition = 0.0542 eV per atom
# E = -32.798 eV for the cell shown
# E_form = -10 kJ/mol of formula units

=====

> The lowest E_form belongs to which entry?

PrGa5Pd7